This record from the Alexandria database describes CaPaCdO6 after structural relaxation. The functional is PBE.

Cell: 4.7195 5.7795 5.7795 Å, 120.00 90.00 90.00°
Site moments in Bohr magnetons follow the coordinates.
Fractional coordinates of all 9 atoms:
Ca (0.5000, 0.6667, 0.3333)  0.00
Pa (0.0000, 0.3333, 0.6667)  0.04
Cd (0.5000, 0.0000, 0.0000)  0.08
O (0.7501, 0.6493, 0.6766)  0.41
O (0.7501, 0.3234, 0.9727)  0.41
O (0.7501, 0.0273, 0.3507)  0.41
O (0.2499, 0.3234, 0.3507)  0.41
O (0.2499, 0.6493, 0.9727)  0.41
O (0.2499, 0.0273, 0.6766)  0.41

Results
VASP energy ... -6.65 eV per atom

This record from the Alexandria database describes CaCdPbO3 after structural relaxation. The functional is PBE.

Cell: 3.2859 6.3547 9.8683 Å, 89.42 90.00 90.00°
Fractional coordinates of all 12 atoms:
Ca (0.2500, 0.1478, 0.2093)
Ca (0.7500, 0.8522, 0.7907)
Cd (0.2500, 0.6455, 0.1057)
Cd (0.7500, 0.3545, 0.8943)
Pb (0.2500, 0.2317, 0.5711)
Pb (0.7500, 0.7683, 0.4289)
O (0.7500, 0.8722, 0.1847)
O (0.2500, 0.1278, 0.8153)
O (0.2500, 0.8683, 0.5887)
O (0.7500, 0.1317, 0.4113)
O (0.7500, 0.3746, 0.1245)
O (0.2500, 0.6254, 0.8755)

Results
VASP energy ... -5.17 eV per atom

This record from the Alexandria database describes Ca2CdPbO4 after structural relaxation. The functional is PBE.

Cell: 6.9878 6.9878 7.0354 Å, 120.22 120.22 90.08°
Fractional coordinates of all 16 atoms:
Ca (0.5000, 0.0000, 0.0000)
Ca (0.5000, 0.0000, 0.5000)
Ca (0.0000, 0.0000, 0.5000)
Ca (0.5000, 0.5000, 0.0000)
Cd (0.0000, 0.5000, 0.0000)
Cd (0.0000, 0.5000, 0.5000)
Pb (0.5000, 0.5000, 0.5000)
Pb (0.0000, 0.0000, 0.0000)
O (0.2613, 0.7450, 0.0032)
O (0.7550, 0.2387, 0.4968)
O (0.2450, 0.7612, 0.5032)
O (0.7388, 0.2550, 0.9968)
O (0.7461, 0.7539, 0.0196)
O (0.7461, 0.7539, 0.4804)
O (0.2539, 0.2461, 0.5196)
O (0.2539, 0.2461, 0.9804)

Results
VASP energy ... -5.51 eV per atom

This record from the Alexandria database describes CaCd2PbO4 after structural relaxation. The functional is PBE.

Cell: 4.9872 4.9872 5.9767 Å, 114.66 114.66 90.00°
Fractional coordinates of all 8 atoms:
Ca (0.5000, 0.5000, 0.0000)
Cd (0.2500, 0.7500, 0.5000)
Cd (0.0000, 0.0000, 0.0000)
Pb (0.7500, 0.2500, 0.5000)
O (0.0142, 0.5142, 0.0283)
O (0.4858, 0.9858, 0.9717)
O (0.7530, 0.7530, 0.5060)
O (0.2470, 0.2470, 0.4940)

Results
VASP energy ... -4.88 eV per atom

This record from the Alexandria database describes CaCdPbO4 after structural relaxation. The functional is PBE.

Cell: 6.7618 6.8102 6.7861 Å, 119.88 90.00 119.77°
Fractional coordinates of all 14 atoms:
Ca (0.8632, 0.7263, 0.1132)
Ca (0.1368, 0.2737, 0.8868)
Cd (0.5000, 0.5000, 0.5000)
Cd (0.0000, 0.5000, 0.5000)
Pb (0.5000, 0.0000, 0.5000)
Pb (0.5000, 0.0000, 0.0000)
O (0.7239, 0.4477, 0.7090)
O (0.2780, 0.0036, 0.2518)
O (0.7256, 0.0036, 0.2518)
O (0.7239, 0.4477, 0.2387)
O (0.2761, 0.5523, 0.7613)
O (0.7220, 0.9964, 0.7482)
O (0.2744, 0.9964, 0.7482)
O (0.2761, 0.5523, 0.2910)

Results
VASP energy ... -5.34 eV per atom

This record from the Alexandria database describes Ca2CdPdO4 after structural relaxation. The functional is PBE.

Cell: 3.2044 6.4374 6.4680 Å, 122.01 90.00 90.00°
Fractional coordinates of all 8 atoms:
Ca (0.5000, 0.0000, 0.5000)
Ca (0.0000, 0.5000, 0.5000)
Cd (0.0000, 0.0000, 0.0000)
Pd (0.5000, 0.5000, 0.0000)
O (0.5000, 0.1978, 0.2890)
O (0.5000, 0.8022, 0.7110)
O (0.0000, 0.3126, 0.7598)
O (0.0000, 0.6874, 0.2402)

Results
VASP energy ... -5.53 eV per atom

This record from the Alexandria database describes CaCd2PdO4 after structural relaxation. The functional is PBE.

Cell: 3.2211 6.2415 6.1987 Å, 117.16 90.00 90.00°
Fractional coordinates of all 8 atoms:
Ca (0.5000, 0.5000, 0.0000)
Cd (0.5000, 0.0000, 0.5000)
Cd (0.0000, 0.5000, 0.5000)
Pd (0.0000, 0.0000, 0.0000)
O (0.5000, 0.2269, 0.1830)
O (0.5000, 0.7731, 0.8170)
O (0.0000, 0.2882, 0.6979)
O (0.0000, 0.7118, 0.3021)

Results
VASP energy ... -4.90 eV per atom

This record from the Alexandria database describes CaPr2CdO after structural relaxation. The functional is PBE.

Cell: 4.8154 5.0784 5.0784 Å, 90.00 90.00 90.00°
Fractional coordinates of all 5 atoms:
Ca (0.5000, 0.0000, 0.0000)
Pr (0.0000, 0.0000, 0.5000)
Pr (0.0000, 0.5000, 0.0000)
Cd (0.5000, 0.5000, 0.5000)
O (0.0000, 0.0000, 0.0000)

Results
VASP energy ... -4.74 eV per atom

This record from the Alexandria database describes CaCdPtO4 after structural relaxation. The functional is PBE.

Cell: 6.5457 6.5711 6.6412 Å, 120.35 90.00 119.87°
Fractional coordinates of all 14 atoms:
Ca (0.5000, 0.0000, 0.5000)
Ca (0.5000, 0.0000, 0.0000)
Cd (0.8999, 0.7998, 0.1499)
Cd (0.1001, 0.2002, 0.8501)
Pt (0.5000, 0.5000, 0.5000)
Pt (0.0000, 0.5000, 0.5000)
O (0.7560, 0.5120, 0.7043)
O (0.2983, 0.0575, 0.2787)
O (0.7592, 0.0575, 0.2787)
O (0.7560, 0.5120, 0.3077)
O (0.2440, 0.4880, 0.6923)
O (0.7017, 0.9425, 0.7213)
O (0.2408, 0.9425, 0.7213)
O (0.2440, 0.4880, 0.2957)

Results
VASP energy ... -5.48 eV per atom

This record from the Alexandria database describes CaCd2PtO6 after structural relaxation. The functional is PBE.

Cell: 5.6667 5.7386 8.1340 Å, 90.00 90.31 90.00°
Site moments in Bohr magnetons follow the coordinates.
Fractional coordinates of all 20 atoms:
Ca (0.5000, 0.0000, 0.0000)  0.00
Ca (0.0000, 0.5000, 0.5000)  0.00
Cd (0.9982, 0.9590, 0.2605)  0.01
Cd (0.4982, 0.5410, 0.7605)  0.01
Cd (0.0018, 0.0410, 0.7395)  0.01
Cd (0.5018, 0.4590, 0.2395)  0.01
Pt (0.5000, 0.0000, 0.5000)  0.57
Pt (0.0000, 0.5000, 0.0000)  0.57
O (0.2977, 0.6636, 0.0464)  0.19
O (0.7977, 0.8364, 0.5464)  0.19
O (0.7023, 0.3364, 0.9536)  0.19
O (0.2023, 0.1636, 0.4536)  0.19
O (0.3444, 0.7111, 0.4240)  0.21
O (0.8444, 0.7889, 0.9240)  0.21
O (0.6556, 0.2889, 0.5760)  0.21
O (0.1556, 0.2111, 0.0760)  0.21
O (0.8893, 0.5786, 0.2266)  0.09
O (0.3893, 0.9214, 0.7266)  0.09
O (0.1107, 0.4214, 0.7734)  0.09
O (0.6107, 0.0786, 0.2734)  0.09

Results
VASP energy ... -5.09 eV per atom

This record from the Alexandria database describes CaCd2PtO after structural relaxation. The functional is PBE.

Cell: 5.7890 3.9435 5.7890 Å, 90.00 90.00 90.00°
Site moments in Bohr magnetons follow the coordinates.
Fractional coordinates of all 5 atoms:
Ca (0.0000, 0.0000, 0.0000)  -0.01
O (0.0000, 0.5000, 0.0000)  -0.14
Pt (0.5000, 0.5000, 0.5000)  -0.01
Cd (0.0000, 0.0000, 0.5000)  0.00
Cd (0.5000, 0.0000, 0.0000)  0.00

Results
VASP energy ... -2.75 eV per atom

This record from the Alexandria database describes Ca2PuCdO6 after structural relaxation. The functional is PBE.

Cell: 4.3844 6.0124 6.0124 Å, 90.00 90.00 90.00°
Site moments in Bohr magnetons follow the coordinates.
Fractional coordinates of all 10 atoms:
Ca (0.0012, 0.5000, 0.0000)  0.01
Ca (0.0012, 0.0000, 0.5000)  0.01
Pu (0.6710, 0.0000, 0.0000)  2.42
Cd (0.6087, 0.5000, 0.5000)  -0.02
O (0.7162, 0.2341, 0.2341)  -0.07
O (0.7162, 0.2341, 0.7659)  -0.07
O (0.1257, 0.5000, 0.5000)  -0.06
O (0.1741, 0.0000, 0.0000)  -0.09
O (0.7162, 0.7659, 0.7659)  -0.07
O (0.7162, 0.7659, 0.2341)  -0.07

Results
VASP energy ... -7.15 eV per atom

This record from the Alexandria database describes CaPuCd2O6 after structural relaxation. The functional is PBE.

Cell: 5.7471 5.7470 6.0846 Å, 61.82 61.82 60.00°
Site moments in Bohr magnetons follow the coordinates.
Fractional coordinates of all 10 atoms:
Ca (0.8135, 0.8135, 0.5594)  -0.01
Pu (0.3212, 0.3212, 0.0363)  2.50
Cd (0.5350, 0.5350, 0.3950)  0.00
Cd (0.0274, 0.0274, 0.9177)  0.00
O (0.5737, 0.2138, 0.2547)  -0.08
O (0.2138, 0.9577, 0.2547)  -0.08
O (0.9577, 0.5737, 0.2547)  -0.08
O (0.4220, 0.6819, 0.7809)  -0.07
O (0.6820, 0.1152, 0.7808)  -0.07
O (0.1152, 0.4220, 0.7809)  -0.07

Results
VASP energy ... -6.84 eV per atom

This record from the Alexandria database describes Ca2PuCd2O6 after structural relaxation. The functional is PBE.

Cell: 5.9694 5.9694 5.6840 Å, 100.16 100.16 118.79°
Site moments in Bohr magnetons follow the coordinates.
Fractional coordinates of all 11 atoms:
Ca (0.3398, 0.6602, 0.5000)  0.01
Ca (0.6602, 0.3398, 0.5000)  0.01
Pu (0.0000, 0.0000, 0.5000)  4.18
Cd (0.8233, 0.1767, 0.0000)  0.00
Cd (0.1767, 0.8233, 0.0000)  0.00
O (0.7750, 0.7750, 0.7213)  -0.06
O (0.0506, 0.3903, 0.7293)  -0.03
O (0.2250, 0.2250, 0.2787)  -0.06
O (0.3903, 0.0506, 0.7293)  -0.03
O (0.9494, 0.6097, 0.2707)  -0.03
O (0.6097, 0.9494, 0.2707)  -0.03

Results
VASP energy ... -6.74 eV per atom

This record from the Alexandria database describes CaPu2CdO8 after structural relaxation. The functional is PBE.

Cell: 5.3757 5.3757 6.4558 Å, 114.60 114.60 90.00°
Site moments in Bohr magnetons follow the coordinates.
Fractional coordinates of all 12 atoms:
Ca (0.7500, 0.2500, 0.5000)  0.00
Pu (0.5000, 0.5000, 0.0000)  2.89
Pu (0.2500, 0.7500, 0.5000)  2.88
Cd (0.0000, 0.0000, 0.0000)  -0.01
O (0.8749, 0.8485, 0.2491)  -0.20
O (0.3742, 0.4006, 0.2491)  -0.20
O (0.5981, 0.6246, 0.7493)  -0.20
O (0.1513, 0.1247, 0.7493)  -0.20
O (0.8753, 0.4019, 0.2507)  -0.20
O (0.3754, 0.8487, 0.2507)  -0.20
O (0.1515, 0.6258, 0.7509)  -0.20
O (0.5994, 0.1251, 0.7509)  -0.20

Results
VASP energy ... -8.20 eV per atom

This record from the Alexandria database describes CaCd2ReO after structural relaxation. The functional is PBE.

Cell: 5.4974 3.7899 5.4974 Å, 90.00 90.00 90.00°
Fractional coordinates of all 5 atoms:
Re (0.0000, 0.0000, 0.0000)
Ca (0.5000, 0.5000, 0.5000)
O (0.0000, 0.5000, 0.0000)
Cd (0.0000, 0.0000, 0.5000)
Cd (0.5000, 0.0000, 0.0000)

Results
VASP energy ... -4.39 eV per atom

This record from the Alexandria database describes CaCdRe2O8 after structural relaxation. The functional is PBE.

Cell: 5.2814 5.2814 6.9491 Å, 112.33 112.33 90.00°
Site moments in Bohr magnetons follow the coordinates.
Fractional coordinates of all 12 atoms:
Ca (0.7500, 0.2500, 0.5000)  0.01
Cd (0.0000, 0.0000, 0.0000)  -0.01
Re (0.5000, 0.5000, 0.0000)  -0.33
Re (0.2500, 0.7500, 0.5000)  0.51
O (0.7422, 0.8227, 0.1569)  -0.02
O (0.4147, 0.3342, 0.1569)  -0.02
O (0.5758, 0.6647, 0.6527)  0.04
O (0.0769, 0.9880, 0.6527)  0.04
O (0.0120, 0.4242, 0.3473)  0.04
O (0.3353, 0.9231, 0.3473)  0.04
O (0.1773, 0.5853, 0.8431)  -0.02
O (0.6658, 0.2578, 0.8431)  -0.02

Results
VASP energy ... -7.36 eV per atom

This record from the Alexandria database describes Ca2CdRhO after structural relaxation. The functional is PBE.

Cell: 5.6825 3.8547 5.6825 Å, 90.00 90.00 90.00°
Fractional coordinates of all 5 atoms:
Ca (0.0000, 0.0000, 0.5000)
Ca (0.5000, 0.0000, 0.0000)
Rh (0.0000, 0.0000, 0.0000)
O (0.0000, 0.5000, 0.0000)
Cd (0.5000, 0.5000, 0.5000)

Results
VASP energy ... -3.90 eV per atom

This record from the Alexandria database describes CaCdS2O8 after structural relaxation. The functional is PBE.

Cell: 5.2400 5.2400 7.1584 Å, 90.00 90.00 120.00°
Fractional coordinates of all 12 atoms:
Ca (0.0000, 0.0000, 0.0000)
Cd (0.0000, 0.0000, 0.5000)
S (0.6667, 0.3333, 0.2033)
S (0.3333, 0.6667, 0.7967)
O (0.3333, 0.6667, 0.0022)
O (0.3551, 0.1782, 0.2710)
O (0.8218, 0.1769, 0.2710)
O (0.6667, 0.3333, 0.9978)
O (0.1782, 0.8231, 0.7290)
O (0.6449, 0.8218, 0.7290)
O (0.1769, 0.3551, 0.7290)
O (0.8231, 0.6449, 0.2710)

Results
VASP energy ... -5.96 eV per atom

This record from the Alexandria database describes Ca2CdSbO6 after structural relaxation. The functional is PBE.

Cell: 5.7453 5.7452 5.9179 Å, 60.96 60.96 60.00°
Site moments in Bohr magnetons follow the coordinates.
Fractional coordinates of all 10 atoms:
Ca (0.5358, 0.5358, 0.3925)  0.00
Ca (0.0293, 0.0293, 0.9120)  0.00
Cd (0.8092, 0.8092, 0.5724)  0.04
Sb (0.3167, 0.3167, 0.0498)  -0.01
O (0.5755, 0.1990, 0.2493)  0.10
O (0.1990, 0.9762, 0.2493)  0.10
O (0.9762, 0.5756, 0.2493)  0.10
O (0.4366, 0.6621, 0.7802)  0.19
O (0.6621, 0.1210, 0.7803)  0.19
O (0.1210, 0.4366, 0.7803)  0.19

Results
VASP energy ... -5.78 eV per atom

This record from the Alexandria database describes Ca2ScCdO after structural relaxation. The functional is PBE.

Cell: 5.0618 5.0618 4.2618 Å, 90.00 90.00 90.00°
Fractional coordinates of all 5 atoms:
Sc (0.0000, 0.0000, 0.5000)
Ca (0.0000, 0.5000, 0.0000)
Ca (0.5000, 0.0000, 0.0000)
O (0.0000, 0.0000, 0.0000)
Cd (0.5000, 0.5000, 0.5000)

Results
VASP energy ... -4.52 eV per atom

This record from the Alexandria database describes CaCdSi2O6 after structural relaxation. The functional is PBE.

Cell: 5.3464 7.0050 7.0050 Å, 86.39 80.06 80.06°
Fractional coordinates of all 20 atoms:
Ca (0.2500, 0.3007, 0.6993)
Ca (0.7500, 0.6993, 0.3007)
Cd (0.2500, 0.9030, 0.0970)
Cd (0.7500, 0.0970, 0.9030)
Si (0.2405, 0.8009, 0.6221)
Si (0.2595, 0.3779, 0.1991)
Si (0.7595, 0.1991, 0.3779)
Si (0.7405, 0.6221, 0.8009)
O (0.1686, 0.9737, 0.7763)
O (0.3314, 0.2237, 0.0263)
O (0.8314, 0.0263, 0.2237)
O (0.6686, 0.7763, 0.9737)
O (0.3412, 0.8635, 0.4023)
O (0.1588, 0.5977, 0.1365)
O (0.6588, 0.1365, 0.5977)
O (0.8412, 0.4023, 0.8635)
O (0.9887, 0.6814, 0.6319)
O (0.5113, 0.3681, 0.3186)
O (0.0113, 0.3186, 0.3681)
O (0.4887, 0.6319, 0.6814)

Results
VASP energy ... -6.90 eV per atom

Respective E_form (uncorrected) values: -1961 -1585 -1948 -1461 -1555 -1790 -1297 -1248 -1368 -1126 214 -2252 -2044 -2202 -2259 -143 -1732 -451 -1726 -1898 -1278 -2544 meV per atom.